Entry 1:
A plane-wave DFT calculation with PBE was carried out for an optimized crystal structure of Na6TlBr8.

The value obtained for the total energy is -43.861 eV/f.u. The crystal system is cubic. Its total magnetic moment is 0.000 μB per atom.

The structure belongs to space group Fm-3m (No. 225); the cell edges are 12.112, 12.112 and 12.112 Å and the angles 90.00°, 90.00° and 90.00°. The asymmetric unit holds Na at (0.000, 0.250, 0.250), Tl at (0.000, 0.000, 0.000), Br at (0.000, 0.000, 0.249) and Br at (0.250, 0.250, 0.250).

Entry 2:
A plane-wave DFT calculation with PBE was carried out for an optimized crystal structure of CeGeIrRh.

The value obtained for the total energy is -28.906 eV/f.u. The crystal system is orthorhombic. For the energy relative to the elements, the calculation gives -0.54 eV/atom. Its total magnetic moment is 0.034 μB per atom.

The structure belongs to space group Amm2 (No. 38); the cell edges are 4.357, 4.054 and 8.865 Å and the angles 90.00°, 90.00° and 90.00°. The asymmetric unit holds Ce at (0.000, 0.000, 0.000), Ge at (0.500, 0.000, 0.585), Ir at (0.000, 0.000, 0.723) and Rh at (0.500, 0.000, 0.262).

Entry 3:
A plane-wave DFT calculation with PBE was carried out for an optimized crystal structure of CaTa2P.

The value obtained for the total energy is -30.564 eV/f.u. The crystal system is orthorhombic. For the energy relative to the elements, the calculation gives 0.14 eV/atom. Its total magnetic moment is 0.045 μB per atom. Its distance to the lowest polymorph of the same formula is 1.15 eV per formula unit.

The structure belongs to space group Cmmm (No. 65); the cell edges are 3.678, 4.894 and 8.803 Å and the angles 90.00°, 90.00° and 90.00°. The asymmetric unit holds Ca at (0.000, 0.000, 0.000), Ta at (0.000, 0.500, 0.313) and P at (0.000, 0.000, 0.500).

Entry 4:
A plane-wave DFT calculation with PBE was carried out for an optimized crystal structure of K4Th3PdSe8.

The value obtained for the total energy is -82.009 eV/f.u. The crystal system is monoclinic. Its total magnetic moment is 0.000 μB per atom.

The structure belongs to space group C2/m (No. 12); the cell edges are 14.970, 8.569 and 9.139 Å and the angles 90.00°, 123.02° and 90.00°. The asymmetric unit holds K at (0.000, 0.000, 0.000), K at (0.000, 0.500, 0.000), K at (0.250, 0.250, 0.000), Th at (0.000, 0.000, 0.500), Th at (0.250, 0.250, 0.500), Pd at (0.000, 0.500, 0.500), Se at (0.018, 0.246, 0.297), Se at (0.238, 0.000, 0.716) and Se at (0.242, 0.500, 0.708).

Entry 5:
A plane-wave DFT calculation with PBE was carried out for an optimized crystal structure of Er2Be4CuIr3.

The value obtained for the total energy is -60.560 eV/f.u. The crystal system is tetragonal. For the energy relative to the elements, the calculation gives -0.59 eV/atom. Its total magnetic moment is 0.000 μB per atom.

The structure belongs to space group P-4m2 (No. 115); the cell edges are 3.881, 3.881 and 9.589 Å and the angles 90.00°, 90.00° and 90.00°. The asymmetric unit holds Er at (0.000, 0.500, 0.247), Be at (0.000, 0.000, 0.000), Be at (0.000, 0.500, 0.628), Be at (0.500, 0.500, 0.000), Cu at (0.000, 0.000, 0.500), Ir at (0.000, 0.500, 0.870) and Ir at (0.500, 0.500, 0.500).

Entry 6:
A plane-wave DFT calculation with PBE was carried out for an optimized crystal structure of Mn2GeN.

The value obtained for the total energy is -31.703 eV/f.u. The crystal system is trigonal. Its total magnetic moment is 0.804 μB per atom.

The structure belongs to space group R3m (No. 160, hexagonal axes); the cell edges are 2.9011, 2.9011 and 18.1452 Å and the angles 90.00°, 90.00° and 120.00°. The asymmetric unit holds Mn at (0.0000, 0.0000, 0.0000), Mn at (0.0000, 0.0000, 0.2173), Ge at (0.0000, 0.0000, 0.7749) and N at (0.0000, 0.0000, 0.6075).

- total magnetic moment of number 1 (Na6TlBr8)?
  0.000 μB per atom

- What is the total magnetic moment in the third record?
  0.045 μB per atom